[1]
This record from the Alexandria database describes crystalline SrLi5Cd7 at its relaxed geometry. The functional is PBE-GGA.

Summary:
spin magnetization: 0.00 Bohr magnetons per cell
total energy: -20.586 eV for the cell shown
formation energy from the elements: -225 meV/atom
SG: Cm

POSCAR file:
```
SrLi5Cd7
1.0
5.723 -5.071 0.000
5.723 5.071 0.000
-2.546 0.000 4.779
Sr Li Cd
1 5 7
direct
0.000 0.000 0.000
0.227 0.227 0.727
0.501 0.999 0.001
0.502 0.999 0.498
0.999 0.501 0.001
0.999 0.502 0.498
0.219 0.790 0.503
0.346 0.346 0.346
0.349 0.643 0.996
0.643 0.349 0.996
0.650 0.650 0.651
0.784 0.784 0.285
0.790 0.219 0.503
```

---

[2]
This record from the Alexandria database describes crystalline SrLi6Cd12 at its relaxed geometry. The functional is PBE-GGA.

Summary:
spin magnetization: 0.00 Bohr magnetons per cell
total energy: -26.557 eV for the cell shown
formation energy from the elements: -127 meV/atom
SG: R-3m

POSCAR file:
```
SrLi6Cd12
1.0
6.260 3.614 3.103
-6.260 3.614 3.103
0.000 -7.229 3.103
Sr Li Cd
1 6 12
direct
0.000 0.000 0.000
0.270 0.270 0.704
0.270 0.704 0.270
0.296 0.730 0.730
0.704 0.270 0.270
0.730 0.296 0.730
0.730 0.730 0.296
0.118 0.500 0.882
0.118 0.882 0.500
0.153 0.406 0.406
0.406 0.153 0.406
0.406 0.406 0.153
0.500 0.118 0.882
0.500 0.882 0.118
0.594 0.594 0.847
0.594 0.847 0.594
0.847 0.594 0.594
0.882 0.118 0.500
0.882 0.500 0.118
```

---

[3]
This record from the Alexandria database describes crystalline Sr2Li2Cd at its relaxed geometry. The functional is PBE-GGA.

Summary:
spin magnetization: 0.00 Bohr magnetons per cell
total energy: -8.450 eV for the cell shown
formation energy from the elements: -69 meV/atom
energy relative to the lowest polymorph listed for this composition: 67.5 meV per atom
SG: I4/mmm

POSCAR file:
```
Sr2Li2Cd
1.0
-2.020 2.020 10.155
2.020 -2.020 10.155
2.020 2.020 -10.155
Sr Li Cd
2 2 1
direct
0.100 0.100 0.000
0.900 0.900 0.000
0.250 0.750 0.500
0.750 0.250 0.500
0.500 0.500 0.000
```

---

[4]
This record from the Alexandria database describes crystalline SrLi4Cd at its relaxed geometry. The functional is PBE-GGA.

Summary:
spin magnetization: 0.00 Bohr magnetons per cell
total energy: -9.070 eV for the cell shown
formation energy from the elements: 197 meV/atom
energy relative to the lowest polymorph listed for this composition: 274.8 meV per atom
SG: P2/m

POSCAR file:
```
SrLi4Cd
1.0
5.109 0.000 0.000
0.000 5.109 0.000
-0.015 0.000 7.673
Sr Li Cd
1 4 1
direct
0.000 0.000 0.000
0.000 0.500 0.500
0.500 0.000 0.500
0.500 0.500 0.170
0.500 0.500 0.830
0.500 0.500 0.500
```

---

[5]
This record from the Alexandria database describes crystalline Sr2Li7Cd at its relaxed geometry. The functional is PBE-GGA.

Summary:
spin magnetization: 0.00 Bohr magnetons per cell
total energy: -17.086 eV for the cell shown
formation energy from the elements: 59 meV/atom
energy relative to the lowest polymorph listed for this composition: 78.0 meV per atom
SG: Fm-3m

POSCAR file:
```
Sr2Li7Cd
1.0
0.000 5.223 5.223
5.223 0.000 5.223
5.223 5.223 0.000
Sr Li Cd
2 7 1
direct
0.250 0.250 0.250
0.750 0.750 0.750
0.000 0.000 0.000
0.247 0.247 0.753
0.247 0.753 0.247
0.247 0.753 0.753
0.753 0.247 0.247
0.753 0.247 0.753
0.753 0.753 0.247
0.500 0.500 0.500
```

---

[6]
This record from the Alexandria database describes crystalline Sr3Li5Cd2 at its relaxed geometry. The functional is PBE-GGA.

Summary:
spin magnetization: 0.00 Bohr magnetons per cell
total energy: -35.440 eV for the cell shown
formation energy from the elements: -128 meV/atom
SG: P4/mbm

POSCAR file:
```
Sr3Li5Cd2
1.0
11.459 0.000 0.000
0.000 11.459 0.000
0.000 0.000 4.573
Sr Li Cd
6 10 4
direct
0.000 0.000 0.000
0.179 0.321 0.000
0.321 0.821 0.000
0.500 0.500 0.000
0.679 0.179 0.000
0.821 0.679 0.000
0.000 0.500 0.500
0.069 0.763 0.500
0.237 0.069 0.500
0.263 0.569 0.500
0.431 0.263 0.500
0.500 0.000 0.500
0.569 0.737 0.500
0.737 0.431 0.500
0.763 0.931 0.500
0.931 0.237 0.500
0.113 0.613 0.000
0.387 0.113 0.000
0.613 0.887 0.000
0.887 0.387 0.000
```

---

[7]
This record from the Alexandria database describes crystalline Sr2LiCd at its relaxed geometry. The functional is PBE-GGA.

Summary:
spin magnetization: 0.00 Bohr magnetons per cell
total energy: -6.847 eV for the cell shown
formation energy from the elements: -164 meV/atom
SG: C2/m

POSCAR file:
```
Sr2LiCd
1.0
4.127 -4.128 0.000
4.127 4.128 0.000
-0.014 0.000 4.080
Sr Li Cd
2 1 1
direct
0.000 0.500 0.000
0.500 0.000 0.000
0.000 0.000 0.500
0.500 0.500 0.500
```

---

[8]
This record from the Alexandria database describes crystalline SrLi7Cd5 at its relaxed geometry. The functional is PBE-GGA.

Summary:
spin magnetization: 0.00 Bohr magnetons per cell
total energy: -22.362 eV for the cell shown
formation energy from the elements: -208 meV/atom
SG: Cm

POSCAR file:
```
SrLi7Cd5
1.0
5.692 -5.005 0.000
5.692 5.005 0.000
-2.912 0.000 5.005
Sr Li Cd
1 7 5
direct
0.000 0.000 0.000
0.219 0.776 0.498
0.228 0.228 0.727
0.351 0.351 0.350
0.359 0.651 0.006
0.651 0.359 0.006
0.652 0.652 0.652
0.776 0.219 0.498
0.007 0.492 0.501
0.007 0.492 0.998
0.492 0.007 0.501
0.492 0.007 0.998
0.784 0.784 0.285
```